An optimized crystal structure of NaPaAsO. Source: OQMD, functional GGA-PBE.

```
8
Lattice="-4.8733 0.9989 -2.4673 0.3079 -4.9010 -2.5922 -2.3176 -2.1141 3.7218" Properties=species:S:1:pos:R:3 pbc="T T T"
As -2.2996 -2.0321 0.5951
As -4.5835 -3.9842 -1.9328
Na -1.1414 -0.9755 -1.2649
Na -3.4241 -2.9266 -3.7946
O -3.5780 -0.4761 -2.4985
O -0.9874 -3.4260 -2.5610
Pa -4.7368 -1.5332 -0.6376
Pa -2.1463 -4.4831 -0.7001
```

Values from the calculation:
Magnetic moment, μB/f.u.: 0.5
Space-group type: P4/mmm (123)
Energy above the lowest structure with this stoichiometry, eV/atom: 0.4657